AcPu2AsO8, optimized geometry, DFT PBE; raw formation energy = -2.459 eV per atom; N(E_F) = 11.18 states/eV/f.u.; total energy = -106.60 eV per cell
1.0
3.5480 -3.7186 0.0000
3.5480 3.7186 0.0000
0.0000 0.0000 7.0468
Ac Pu As O
1 2 1 8
direct
0.0000 0.0000 0.0000
0.5000 0.5000 0.2604
0.5000 0.5000 0.7396
0.0000 0.0000 0.5000
0.2047 0.2047 0.2820
0.2047 0.2047 0.7180
0.3128 0.6872 0.5000
0.3317 0.6683 0.0000
0.6683 0.3317 0.0000
0.6872 0.3128 0.5000
0.7953 0.7953 0.2820
0.7953 0.7953 0.7180

AcPuAsO2, optimized geometry, DFT PBE; raw formation energy = -2.418 eV per atom; N(E_F) = 9.33 states/eV/f.u.; total energy = -90.19 eV per cell
1.0
3.9495 0.0000 0.0000
0.0000 3.9495 0.0000
0.0000 0.0000 12.9231
Ac Pu As O
2 2 2 4
direct
0.0000 0.0000 0.0000
0.5000 0.5000 0.5000
0.0000 0.0000 0.2964
0.5000 0.5000 0.7964
0.0000 0.0000 0.6547
0.5000 0.5000 0.1547
0.0000 0.5000 0.3847
0.0000 0.5000 0.8847
0.5000 0.0000 0.3847
0.5000 0.0000 0.8847

Rb2AcAsO6, optimized geometry, DFT PBE; raw formation energy = -1.557 eV per atom; N(E_F) = 8.05 states/eV/f.u.; total energy = -56.01 eV per cell
1.0
6.5933 0.0000 0.0000
-3.2967 5.7100 0.0000
0.0000 0.0000 6.1781
Rb Ac As O
2 1 1 6
direct
0.3333 0.6667 0.0871
0.6667 0.3333 0.9129
0.0000 0.0000 0.5000
0.0000 0.0000 0.0000
0.1317 0.2635 0.8202
0.1317 0.8683 0.8202
0.2635 0.1317 0.1798
0.7365 0.8683 0.8202
0.8683 0.1317 0.1798
0.8683 0.7365 0.1798

Rb3Ac3AsO8, optimized geometry, DFT PBE; raw formation energy = -2.176 eV per atom; N(E_F) = 1.61 states/eV/f.u.; total energy = -92.19 eV per cell
1.0
3.6918 2.1315 6.6873
-3.6918 2.1315 6.6873
0.0000 -4.2629 6.6873
Rb Ac As O
3 3 1 8
direct
0.0000 0.5000 0.5000
0.5000 0.0000 0.5000
0.5000 0.5000 0.0000
0.0000 0.0000 0.5000
0.0000 0.5000 0.0000
0.5000 0.0000 0.0000
0.5000 0.5000 0.5000
0.2294 0.2294 0.2294
0.2798 0.6911 0.6911
0.3089 0.3089 0.7202
0.3089 0.7202 0.3089
0.6911 0.2798 0.6911
0.6911 0.6911 0.2798
0.7202 0.3089 0.3089
0.7706 0.7706 0.7706

RbAcAs2O8, optimized geometry, DFT PBE; raw formation energy = -1.562 eV per atom; N(E_F) = 12.33 states/eV/f.u.; total energy = -72.79 eV per cell
1.0
-3.9038 3.9038 3.5162
3.9038 -3.9038 3.5162
3.9038 3.9038 -3.5162
Rb Ac As O
1 1 2 8
direct
0.0000 0.0000 0.0000
0.2500 0.7500 0.5000
0.5000 0.5000 0.0000
0.7500 0.2500 0.5000
0.3593 0.1780 0.8188
0.3593 0.5405 0.1812
0.4232 0.0881 0.3351
0.4595 0.6407 0.8188
0.7529 0.0881 0.6649
0.8220 0.6407 0.1812
0.9119 0.2471 0.3351
0.9119 0.5768 0.6649

RbAc2AsO5, optimized geometry, DFT PBE; raw formation energy = -2.257 eV per atom; total energy = -117.88 eV per cell
1.0
7.2482 0.0000 0.0000
0.0000 7.2482 0.0000
0.0000 0.0000 6.1744
Rb Ac As O
2 4 2 10
direct
0.0000 0.0000 0.0000
0.5000 0.5000 0.0000
0.1796 0.3204 0.5000
0.3204 0.8204 0.5000
0.6796 0.1796 0.5000
0.8204 0.6796 0.5000
0.0000 0.5000 0.0000
0.5000 0.0000 0.0000
0.0000 0.0000 0.5000
0.1321 0.6321 0.2462
0.1321 0.6321 0.7538
0.3679 0.1321 0.2462
0.3679 0.1321 0.7538
0.5000 0.5000 0.5000
0.6321 0.8679 0.2462
0.6321 0.8679 0.7538
0.8679 0.3679 0.2462
0.8679 0.3679 0.7538

Rb2AcAsO4, optimized geometry, DFT PBE; raw formation energy = -1.739 eV per atom; N(E_F) = 0.00 states/eV/f.u.; total energy = -88.87 eV per cell
1.0
6.4597 0.0000 0.0000
0.0000 6.4597 0.0000
0.0000 0.0000 8.6822
Rb Ac As O
4 2 2 8
direct
0.0000 0.0000 0.0000
0.0000 0.5000 0.2500
0.5000 0.0000 0.7500
0.5000 0.5000 0.5000
0.0000 0.5000 0.7500
0.5000 0.0000 0.2500
0.0000 0.0000 0.5000
0.5000 0.5000 0.0000
0.1631 0.7696 0.6070
0.2304 0.1631 0.3930
0.2696 0.3369 0.8930
0.3369 0.7304 0.1070
0.6631 0.2696 0.1070
0.7304 0.6631 0.8930
0.7696 0.8369 0.3930
0.8369 0.2304 0.6070

Rb2AcAs2O6, optimized geometry, DFT PBE; raw formation energy = -1.910 eV per atom; N(E_F) = 1.26 states/eV/f.u.; total energy = -66.10 eV per cell
1.0
5.2620 -3.1389 0.0000
5.2620 3.1389 0.0000
-3.5038 0.0000 6.8716
Rb Ac As O
2 1 2 6
direct
0.2096 0.2096 0.1797
0.7904 0.7904 0.8203
0.0000 0.0000 0.5000
0.4395 0.4395 0.7876
0.5605 0.5605 0.2124
0.2493 0.6995 0.2494
0.2613 0.2613 0.6028
0.3005 0.7507 0.7506
0.6995 0.2493 0.2494
0.7387 0.7387 0.3972
0.7507 0.3005 0.7506